An optimized crystal structure of Zr2TiAlFe. Source: Alexandria, functional GGA-PBEsol.

The calculation puts the calculated density at 5.3 g/cm3. The space-group type is P4/mmm, No. 123. The calculation puts the electronic total energy at -0.2809 Ha/atom. For the formation energy from the elements, the calculation gives 0.2691 eV per atom. For the density of states at the Fermi level, the calculation gives 1.40 states/eV per atom.

Geometry as POSCAR:
```
Zr2TiAlFe
1.0
4.6528 0.0000 0.0000
0.0000 4.6528 0.0000
0.0000 0.0000 4.5264
Zr Ti Al Fe
2 1 1 1
Direct
0.0000 0.5000 0.0000
0.5000 0.0000 0.0000
0.0000 0.0000 0.5000
0.5000 0.5000 0.5000
0.5000 0.5000 0.0000
```